Tb2CeTl after structural relaxation. Source: Alexandria, functional GGA-PBE.

It has space group P4/mmm (No. 123), with a = 4.936 Å, b = 4.936 Å, c = 4.687 Å, α = 90.00°, β = 90.00° and γ = 90.00°. The asymmetric unit holds Tb at (0.000, 0.500, 0.000), Ce at (0.000, 0.000, 0.500) and Tl at (0.500, 0.500, 0.500).

As for the calculated formation energy: -0.14 eV per atom. The value obtained for the total magnetic moment is 0.231 μB/atom. The energy relative to the lowest polymorph listed for this composition comes out at 0.0 meV/atom.